Record 1
Computed, not measured: a geometry-optimized NbBiP3 structure at the PBE level of DFT.

The structure belongs to space group Pm-3m (No. 221); the cell edges are 4.863, 4.863 and 4.863 Å and the angles 90.00°, 90.00° and 90.00°. The inequivalent atoms are Nb at (0.000, 0.000, 0.000), Bi at (0.500, 0.500, 0.500) and P at (0.000, 0.000, 0.500).

As for the calculated formation energy: 1.86 eV per formula unit. The polymorph energy (0 for the lowest one) comes out at 0.000 eV per atom.



Record 2
Computed, not measured: a geometry-optimized Sr3Li2Sn2Sb4 structure at the PBE level of DFT.

The structure belongs to space group P-3m1 (No. 164); the cell edges are 4.6715, 4.6715 and 18.5772 Å and the angles 90.00°, 90.00° and 120.00°. The inequivalent atoms are Sr at (0.0000, 0.0000, 0.0000), Sr at (0.0000, 0.0000, 0.2339), Li at (0.3333, 0.6667, 0.1190), Sn at (0.3333, 0.6667, 0.5782), Sb at (0.3333, 0.6667, 0.3437) and Sb at (0.3333, 0.6667, 0.8833).

The value obtained for the raw formation energy is -0.677 eV/atom.



Record 3
Computed, not measured: a geometry-optimized TeIr2Au structure at the PBE level of DFT.

The structure belongs to space group C2/m (No. 12); the cell edges are 8.168, 3.594 and 5.113 Å and the angles 90.00°, 106.45° and 90.00°. The inequivalent atoms are Te at (0.000, 0.000, 0.000), Ir at (0.248, 0.500, 0.236) and Au at (0.000, 0.500, 0.500).

The value obtained for the raw formation energy is 0.457 eV/atom. The polymorph energy (0 for the lowest one) comes out at 0.165 eV per atom.



Record 4
Computed, not measured: a geometry-optimized PuURe structure at the PBE level of DFT.

The structure belongs to space group I4mm (No. 107); the cell edges are 3.384, 3.384 and 9.962 Å and the angles 90.00°, 90.00° and 90.00°. The inequivalent atoms are Pu at (0.000, 0.000, 0.000), U at (0.000, 0.000, 0.655) and Re at (0.000, 0.000, 0.320).

As for the calculated formation energy: 0.16 eV per formula unit. The polymorph energy (0 for the lowest one) comes out at 0.027 eV per atom.



Number 1: size of the total moment 0.00 μB per cell. Number 2: size of the total moment 0.00 μB per cell. Number 3: size of the total moment 0.00 μB per cell. Number 4: size of the total moment 10.18 μB per cell.